No. 1
A relaxed In3IrBr crystal, computed with PBE-GGA.

Summary:
Its space-group type is P6_3/mmc (194). The formation energy from raw total energies is -0.13 eV/atom. As for the total magnetic moment: 0.00 μB/cell. The calculation puts the density of states at the Fermi level at 0.352 states/eV/atom. The offset from the most stable computed form is 5.65 kcal/mol of atoms.

Lattice parameters (Å, degrees): 5.0450 5.0450 11.1428 90.00 90.00 120.00
Closest atoms and distances in Å follow each position.
Fractional positions:
In  0.0000  0.0000  0.2500  2 Ir 2.79, 3 Br 2.91
In  0.0000  0.0000  0.7500  2 Ir 2.79, 3 Br 2.91
In  0.3333  0.6667  0.0172  3 Ir 2.92, 3 In 2.94, 1 Br 2.98
In  0.3333  0.6667  0.4828  3 Ir 2.92, 3 In 2.94, 1 Br 2.98
In  0.6667  0.3333  0.5172  3 Ir 2.92, 3 In 2.94, 1 Br 2.98
In  0.6667  0.3333  0.9828  3 Ir 2.92, 3 In 2.94, 1 Br 2.98
Ir  0.0000  0.0000  0.0000  8 In 2.79-2.92
Ir  0.0000  0.0000  0.5000  8 In 2.79-2.92
Br  0.3333  0.6667  0.7500  5 In 2.91-2.98
Br  0.6667  0.3333  0.2500  5 In 2.91-2.98



No. 2
A relaxed LaMgTa2 crystal, computed with PBE-GGA.

Summary:
Its space-group type is P4mm (99). For the total energy, the calculation gives -7.300 eV/atom. As for the total magnetic moment: 0.00 μB/cell. The calculation puts the density of states at the Fermi level at 1.147 states/eV/atom.

Lattice parameters (Å, degrees): 3.5066 3.5066 7.8049 90.00 90.00 90.00
Closest atoms and distances in Å follow each position.
Fractional positions:
La  0.0000  0.0000  0.0000  5 Ta 3.31-3.42, 4 La 3.51, 4 Mg 3.59
Mg  0.5000  0.5000  0.3326  5 Ta 3.01-3.06
Ta  0.0000  0.0000  0.5615  4 Ta 2.77, 4 Mg 3.06
Ta  0.5000  0.5000  0.7187  4 Ta 2.77, 1 Mg 3.01



No. 3
A relaxed LaB2AsIr crystal, computed with PBE-GGA.

Summary:
Its space-group type is P4/mmm (123). For the total energy, the calculation gives -5.200 eV/atom. As for the total magnetic moment: 0.00 μB/cell. The calculation puts the density of states at the Fermi level at 0.524 states/eV/atom.

Lattice parameters (Å, degrees): 4.0881 4.0881 5.8438 90.00 90.00 90.00
Closest atoms and distances in Å follow each position.
Fractional positions:
La  0.0000  0.0000  0.0000  4 Ir 2.89, 2 As 2.92
B  0.0000  0.5000  0.5000  2 As 2.04
B  0.5000  0.0000  0.5000  2 As 2.04
As  0.0000  0.0000  0.5000  4 B 2.04
Ir  0.5000  0.5000  0.0000  4 La 2.89